(1)
Below is a geometry-optimized ZnBiW2 structure, with properties calculated at the GGA-PBEsol level.

Cell lengths 4.584, 4.584, 4.584 Å; angles 60.00, 60.00, 60.00 degrees
Element x y z (fractional)
Zn 0.000 0.000 0.000
Bi 0.500 0.500 0.500
W 0.250 0.250 0.250
W 0.750 0.750 0.750

Output
The energy relative to the elements comes out at 100.5 kJ per mole of atoms. The calculation puts the total energy at -0.2693 Ha/atom. As for the symmetry: No. 225.



(2)
Below is a geometry-optimized YBi3 structure, with properties calculated at the GGA-PBEsol level.

Cell lengths 6.371, 6.371, 6.371 Å; angles 137.66, 137.66, 61.42 degrees
Element x y z (fractional)
Y 0.000 0.000 0.000
Bi 0.250 0.750 0.500
Bi 0.500 0.500 0.000
Bi 0.750 0.250 0.500

Output
The energy relative to the elements comes out at -40.3 kJ per mole of atoms. The calculation puts the total energy at -0.1961 Ha/atom. As for the symmetry: No. 139.



(3)
Below is a geometry-optimized YBi3 structure, with properties calculated at the GGA-PBEsol level.

Cell lengths 6.731, 6.731, 5.935 Å; angles 90.00, 90.00, 120.00 degrees
Element x y z (fractional)
Y 0.333 0.667 0.250
Y 0.667 0.333 0.750
Bi 0.172 0.344 0.750
Bi 0.172 0.828 0.750
Bi 0.344 0.172 0.250
Bi 0.656 0.828 0.750
Bi 0.828 0.172 0.250
Bi 0.828 0.656 0.250

Output
The energy relative to the elements comes out at -38.9 kJ per mole of atoms. The calculation puts the total energy at -0.1956 Ha/atom. As for the symmetry: No. 194.



(4)
Below is a geometry-optimized Zr3Bi5 structure, with properties calculated at the GGA-PBEsol level.

Cell lengths 6.948, 6.948, 16.947 Å; angles 90.00, 90.00, 90.00 degrees
Element x y z (fractional)
Zr 0.000 0.000 0.000
Zr 0.000 0.000 0.326
Zr 0.000 0.000 0.674
Zr 0.000 0.500 0.250
Zr 0.000 0.500 0.588
Zr 0.000 0.500 0.912
Zr 0.500 0.000 0.088
Zr 0.500 0.000 0.412
Zr 0.500 0.000 0.750
Zr 0.500 0.500 0.174
Zr 0.500 0.500 0.500
Zr 0.500 0.500 0.826
Bi 0.154 0.268 0.448
Bi 0.156 0.806 0.151
Bi 0.168 0.668 0.750
Bi 0.194 0.156 0.849
Bi 0.232 0.346 0.052
Bi 0.268 0.846 0.552
Bi 0.306 0.656 0.349
Bi 0.332 0.168 0.250
Bi 0.344 0.306 0.651
Bi 0.346 0.768 0.948
Bi 0.654 0.232 0.948
Bi 0.656 0.694 0.651
Bi 0.668 0.832 0.250
Bi 0.694 0.344 0.349
Bi 0.732 0.154 0.552
Bi 0.768 0.654 0.052
Bi 0.806 0.844 0.849
Bi 0.832 0.332 0.750
Bi 0.844 0.194 0.151
Bi 0.846 0.732 0.448

Output
The energy relative to the elements comes out at -36.1 kJ per mole of atoms. The calculation puts the total energy at -0.2375 Ha/atom. As for the symmetry: No. 118.



(5)
Below is a geometry-optimized Br structure, with properties calculated at the GGA-PBEsol level.

Cell lengths 4.141, 4.141, 8.085 Å; angles 90.00, 90.00, 68.26 degrees
Element x y z (fractional)
Br 0.000 0.000 0.000
Br 0.000 0.000 0.500
Br 0.329 0.671 0.750
Br 0.671 0.329 0.250

Output
The raw formation energy comes out at 0.000 eV per formula unit. The calculation puts the total energy at -0.0687 Ha/atom. As for the symmetry: No. 63. The offset from the most stable computed form comes out at 0.000 eV/atom.



(6)
Below is a geometry-optimized Br structure, with properties calculated at the GGA-PBEsol level.

Cell lengths 4.860, 4.860, 4.860 Å; angles 60.00, 60.00, 60.00 degrees
Element x y z (fractional)
Br 0.125 0.125 0.125
Br 0.875 0.875 0.875

Output
The raw formation energy comes out at 0.689 eV per formula unit. The calculation puts the total energy at -0.0434 Ha/atom. As for the symmetry: No. 227. The offset from the most stable computed form comes out at 0.689 eV/atom.



(7)
Below is a geometry-optimized Br structure, with properties calculated at the GGA-PBEsol level.

Cell lengths 4.097, 4.097, 8.546 Å; angles 90.00, 90.00, 58.41 degrees
Element x y z (fractional)
Br 0.155 0.845 0.880
Br 0.345 0.655 0.380
Br 0.655 0.345 0.620
Br 0.845 0.155 0.120

Output
The raw formation energy comes out at 0.026 eV per formula unit. The calculation puts the total energy at -0.0678 Ha/atom. As for the symmetry: No. 64. The offset from the most stable computed form comes out at 0.026 eV/atom.



(8)
Below is a geometry-optimized Br structure, with properties calculated at the GGA-PBEsol level.

Cell lengths 4.072, 4.072, 7.324 Å; angles 90.00, 90.00, 120.00 degrees
Element x y z (fractional)
Br 0.000 0.906 0.167
Br 0.094 0.094 0.500
Br 0.906 0.000 0.833

Output
The raw formation energy comes out at 0.094 eV per formula unit. The calculation puts the total energy at -0.0653 Ha/atom. As for the symmetry: No. 152. The offset from the most stable computed form comes out at 0.094 eV/atom.



What did the sixth record say?
Below is a geometry-optimized Br structure, with properties calculated at the GGA-PBEsol level.

Cell lengths 4.860, 4.860, 4.860 Å; angles 60.00, 60.00, 60.00 degrees
Element x y z (fractional)
Br 0.125 0.125 0.125
Br 0.875 0.875 0.875

Output
The raw formation energy comes out at 0.689 eV per formula unit. The calculation puts the total energy at -0.0434 Ha/atom. As for the symmetry: No. 227. The offset from the most stable computed form comes out at 0.689 eV/atom.